Density functional theory data (PBEsol) for a relaxed structure of K2FeH2OF5.

Values from the calculation:
Symmetry   C2/c, No. 15
DOS at the Fermi energy   16.29 states/eV/cell
E   -5.060 eV/atom
Density   2.94 g cm⁻³

Unit cell a=6.115 b=6.115 c=7.670 alpha=95.29 beta=95.29 gamma=78.31
Positions (direct):
K 0.199 0.202 0.031
K 0.202 0.199 0.531
K 0.798 0.801 0.469
K 0.801 0.798 0.969
Fe 0.300 0.700 0.750
Fe 0.700 0.300 0.250
H 0.364 0.590 0.356
H 0.410 0.636 0.144
H 0.590 0.364 0.856
H 0.636 0.410 0.644
O 0.457 0.543 0.250
O 0.543 0.457 0.750
F 0.058 0.942 0.750
F 0.113 0.515 0.801
F 0.231 0.639 0.509
F 0.361 0.769 0.991
F 0.485 0.887 0.699
F 0.515 0.113 0.301
F 0.639 0.231 0.009
F 0.769 0.361 0.491
F 0.887 0.485 0.199
F 0.942 0.058 0.250